1.
Na2LiGe | GGA-PBE | relaxed

The structure in CIF format:
```
data_Na2LiGe
_cell_length_a 4.2984
_cell_length_b 4.2984
_cell_length_c 4.8835
_cell_angle_alpha 90.00
_cell_angle_beta 90.00
_cell_angle_gamma 90.00
_symmetry_space_group_name_H-M 'P 4/m m m'
_symmetry_Int_Tables_number 123
_symmetry_space_group_name_Hall '-P 4 2'
loop_
_atom_site_label
_atom_site_type_symbol
_atom_site_fract_x
_atom_site_fract_y
_atom_site_fract_z
Na1 Na 0.0000 0.5000 0.0000
Li1 Li 0.0000 0.0000 0.5000
Ge1 Ge 0.5000 0.5000 0.5000
```

Formation energy: 22 meV/atom
Total magnetization: 0.00 μB/f.u.


2.
Sm6ThMg | GGA-PBE | relaxed

The structure in CIF format:
```
data_Sm6ThMg
_cell_length_a 4.9974
_cell_length_b 4.9974
_cell_length_c 20.6968
_cell_angle_alpha 90.00
_cell_angle_beta 90.00
_cell_angle_gamma 90.00
_symmetry_space_group_name_H-M 'I 4/m m m'
_symmetry_Int_Tables_number 139
_symmetry_space_group_name_Hall '-I 4 2'
loop_
_atom_site_label
_atom_site_type_symbol
_atom_site_fract_x
_atom_site_fract_y
_atom_site_fract_z
Sm1 Sm 0.0000 0.0000 0.2478
Sm2 Sm 0.0000 0.5000 0.1216
Th1 Th 0.0000 0.0000 0.0000
Mg1 Mg 0.0000 0.0000 0.5000
```

Formation energy: 44 meV/atom
Total magnetization: 0.00 μB/f.u.
Polymorph energy (0 for the lowest one): 0.011 eV/atom


3.
BaNaLi2Tl | GGA-PBE | relaxed

The structure in CIF format:
```
data_BaNaLi2Tl
_cell_length_a 5.4163
_cell_length_b 5.4163
_cell_length_c 5.7779
_cell_angle_alpha 90.00
_cell_angle_beta 90.00
_cell_angle_gamma 90.00
_symmetry_space_group_name_H-M 'P 4/m m m'
_symmetry_Int_Tables_number 123
_symmetry_space_group_name_Hall '-P 4 2'
loop_
_atom_site_label
_atom_site_type_symbol
_atom_site_fract_x
_atom_site_fract_y
_atom_site_fract_z
Ba1 Ba 0.0000 0.0000 0.0000
Na1 Na 0.5000 0.5000 0.0000
Li1 Li 0.0000 0.5000 0.5000
Tl1 Tl 0.5000 0.5000 0.5000
```

Formation energy: -37 meV/atom
Total magnetization: 0.00 μB/f.u.


4.
Ga3Ag6Hg | GGA-PBE | relaxed

The structure in CIF format:
```
data_Ga3Ag6Hg
_cell_length_a 9.2237
_cell_length_b 12.5849
_cell_length_c 6.5930
_cell_angle_alpha 90.00
_cell_angle_beta 90.00
_cell_angle_gamma 90.00
_symmetry_space_group_name_H-M 'C m c 21'
_symmetry_Int_Tables_number 36
_symmetry_space_group_name_Hall 'C 2c -2'
loop_
_atom_site_label
_atom_site_type_symbol
_atom_site_fract_x
_atom_site_fract_y
_atom_site_fract_z
Ga1 Ga 0.0000 0.0491 0.0000
Ga2 Ga 0.1454 0.3718 0.1033
Ag1 Ag 0.0000 0.2028 0.2903
Ag2 Ag 0.0000 0.4533 0.4654
Ag3 Ag 0.2208 0.0343 0.2953
Ag4 Ag 0.2456 0.1876 0.9693
Hg1 Hg 0.0000 0.2512 0.7219
```

Formation energy: 63 meV/atom
Total magnetization: 0.00 μB/f.u.


5.
Cs3Sb2Cl9 | GGA-PBE | relaxed

The structure in CIF format:
```
data_Cs3Sb2Cl9
_cell_length_a 13.2055
_cell_length_b 13.2055
_cell_length_c 19.6942
_cell_angle_alpha 90.00
_cell_angle_beta 90.00
_cell_angle_gamma 120.00
_symmetry_space_group_name_H-M 'R -3 c'
_symmetry_Int_Tables_number 167
_symmetry_space_group_name_Hall '-R 3 2"c'
loop_
_atom_site_label
_atom_site_type_symbol
_atom_site_fract_x
_atom_site_fract_y
_atom_site_fract_z
Cs1 Cs 0.0000 0.3313 0.2500
Sb1 Sb 0.0000 0.0000 0.1560
Cl1 Cl 0.0000 0.1703 0.7500
Cl2 Cl 0.0029 0.1647 0.0895
```

Total magnetization: 0.00 μB/f.u.
Polymorph energy (0 for the lowest one): 0.018 eV/atom
E_form (uncorrected): -1912 kJ/mol of formula units


6.
Cs2CdIn3Hg12 | GGA-PBE | relaxed

The structure in CIF format:
```
data_Cs2CdIn3Hg12
_cell_length_a 11.7876
_cell_length_b 11.7876
_cell_length_c 17.1616
_cell_angle_alpha 90.00
_cell_angle_beta 90.00
_cell_angle_gamma 120.00
_symmetry_space_group_name_H-M 'R -3 m'
_symmetry_Int_Tables_number 166
_symmetry_space_group_name_Hall '-R 3 2"'
loop_
_atom_site_label
_atom_site_type_symbol
_atom_site_fract_x
_atom_site_fract_y
_atom_site_fract_z
Cs1 Cs 0.0000 0.0000 0.1310
Cd1 Cd 0.0000 0.0000 0.5000
In1 In 0.0000 0.5000 0.0000
Hg1 Hg 0.0251 0.5125 0.1788
Hg2 Hg 0.1066 0.2131 0.6823
```

Formation energy: -33 meV/atom
Total magnetization: 0.00 μB/f.u.


7.
AlBiF6 | GGA-PBE | relaxed

The structure in CIF format:
```
data_AlBiF6
_cell_length_a 5.3924
_cell_length_b 5.3924
_cell_length_c 14.3038
_cell_angle_alpha 90.00
_cell_angle_beta 90.00
_cell_angle_gamma 120.00
_symmetry_space_group_name_H-M 'R -3'
_symmetry_Int_Tables_number 148
_symmetry_space_group_name_Hall '-R 3'
loop_
_atom_site_label
_atom_site_type_symbol
_atom_site_fract_x
_atom_site_fract_y
_atom_site_fract_z
Al1 Al 0.0000 0.0000 0.0000
Bi1 Bi 0.0000 0.0000 0.5000
F1 F 0.0293 0.7387 0.0740
```

Total magnetization: 0.00 μB/f.u.
E_form (uncorrected): -2306 kJ/mol of formula units


8.
BaCoAu2 | GGA-PBE | relaxed

The structure in CIF format:
```
data_BaCoAu2
_cell_length_a 5.2502
_cell_length_b 5.2502
_cell_length_c 17.1206
_cell_angle_alpha 90.00
_cell_angle_beta 90.00
_cell_angle_gamma 90.00
_symmetry_space_group_name_H-M 'I 41/a m d'
_symmetry_Int_Tables_number 141
loop_
_symmetry_equiv_pos_as_xyz
'x,y,z'
'-x,-y,-z'
'-y+1/4,x+3/4,z+1/4'
'y+1/4,-x+3/4,-z+1/4'
'-x+1/2,-y,z+1/2'
'x+1/2,y,-z+1/2'
'y+1/4,-x+1/4,z+3/4'
'-y+1/4,x+1/4,-z+3/4'
'x,-y,-z'
'-x,y,z'
'-y+1/4,-x+1/4,-z+3/4'
'y+1/4,x+1/4,z+3/4'
'-x+1/2,y,-z+1/2'
'x+1/2,-y,z+1/2'
'y+1/4,x+3/4,-z+1/4'
'-y+1/4,-x+3/4,z+1/4'
'x+1/2,y+1/2,z+1/2'
'-x+1/2,-y+1/2,-z+1/2'
'-y+3/4,x+1/4,z+3/4'
'y+3/4,-x+1/4,-z+3/4'
'-x,-y+1/2,z'
'x,y+1/2,-z'
'y+3/4,-x+3/4,z+1/4'
'-y+3/4,x+3/4,-z+1/4'
'x+1/2,-y+1/2,-z+1/2'
'-x+1/2,y+1/2,z+1/2'
'-y+3/4,-x+3/4,-z+1/4'
'y+3/4,x+3/4,z+1/4'
'-x,y+1/2,-z'
'x,-y+1/2,z'
'y+3/4,x+1/4,-z+3/4'
'-y+3/4,-x+1/4,z+3/4'
loop_
_atom_site_label
_atom_site_type_symbol
_atom_site_fract_x
_atom_site_fract_y
_atom_site_fract_z
Ba1 Ba 0.0000 0.2500 0.3750
Co1 Co 0.0000 0.2500 0.8750
Au1 Au 0.0000 0.0000 0.0000
```

Formation energy: -39 meV/atom
Total magnetization: 1.46 μB/f.u.
Polymorph energy (0 for the lowest one): 0.155 eV/atom


9.
CrNi3 | GGA-PBE | relaxed

The structure in CIF format:
```
data_CrNi3
_cell_length_a 3.5134
_cell_length_b 3.5134
_cell_length_c 7.1525
_cell_angle_alpha 90.00
_cell_angle_beta 90.00
_cell_angle_gamma 90.00
_symmetry_space_group_name_H-M 'I 4/m m m'
_symmetry_Int_Tables_number 139
_symmetry_space_group_name_Hall '-I 4 2'
loop_
_atom_site_label
_atom_site_type_symbol
_atom_site_fract_x
_atom_site_fract_y
_atom_site_fract_z
Cr1 Cr 0.0000 0.0000 0.0000
Ni1 Ni 0.0000 0.0000 0.5000
Ni2 Ni 0.0000 0.5000 0.2500
```

Formation energy: -17 meV/atom
Total magnetization: 1.37 μB/f.u.


10.
TbEr2Ir2 | GGA-PBE | relaxed

The structure in CIF format:
```
data_TbEr2Ir2
_cell_length_a 5.4781
_cell_length_b 4.3671
_cell_length_c 10.3653
_cell_angle_alpha 90.00
_cell_angle_beta 96.99
_cell_angle_gamma 90.00
_symmetry_space_group_name_H-M 'P 1 21/m 1'
_symmetry_Int_Tables_number 11
_symmetry_space_group_name_Hall '-P 2yb'
loop_
_atom_site_label
_atom_site_type_symbol
_atom_site_fract_x
_atom_site_fract_y
_atom_site_fract_z
Tb1 Tb 0.0988 0.2500 0.2903
Er1 Er 0.2498 0.2500 0.9696
Er2 Er 0.3916 0.2500 0.6174
Ir1 Ir 0.1567 0.7500 0.4752
Ir2 Ir 0.2686 0.7500 0.1406
```

Formation energy: -756 meV/atom
Total magnetization: 0.00 μB/f.u.
Polymorph energy (0 for the lowest one): 0.052 eV/atom


11.
LaMnSi2 | GGA-PBE | relaxed

The structure in CIF format:
```
data_LaMnSi2
_cell_length_a 3.6454
_cell_length_b 3.8973
_cell_length_c 11.4840
_cell_angle_alpha 90.00
_cell_angle_beta 90.00
_cell_angle_gamma 90.00
_symmetry_space_group_name_H-M 'I m m 2'
_symmetry_Int_Tables_number 44
_symmetry_space_group_name_Hall 'I 2 -2'
loop_
_atom_site_label
_atom_site_type_symbol
_atom_site_fract_x
_atom_site_fract_y
_atom_site_fract_z
La1 La 0.0000 0.0000 0.0000
Mn1 Mn 0.0000 0.5000 0.7597
Si1 Si 0.0000 0.0000 0.6270
Si2 Si 0.0000 0.5000 0.2670
```

Total magnetization: 3.58 μB/f.u.
E_form (uncorrected): -98 kJ/mol of formula units